Compound: RbWO3F
Source: Alexandria via LeMat-Bulk
Functional: PBE+U
Structure: relaxed

Calculated values
E: -6.15 eV per atom
density: 3.7 g/cm³

abc: 5.3552 20.5773 5.5255
angles: 90.00 90.00 90.00
Space group Cmcm (No. 63)
Unique sites:
1 Rb 0.0000 0.2368 0.2500 [4 per cell]
2 W 0.0000 0.4711 0.7500 [4 per cell]
3 O 0.0000 0.3870 0.7500 [4 per cell]
4 O 0.2324 0.5000 0.0000 [8 per cell]
5 F 0.0000 0.2218 0.7500 [4 per cell]